VASP calculation (PBEsol) on a relaxed RbRe2N2 crystal.

Cell: 3.7059 3.7059 12.4927 Å, 90.00 90.00 90.00°
Sites, in units of the cell vectors:
Rb (0.0000, 0.0000, 0.0000)
Rb (0.5000, 0.5000, 0.5000)
Re (0.0000, 0.5000, 0.2500)
Re (0.0000, 0.5000, 0.7500)
Re (0.5000, 0.0000, 0.2500)
Re (0.5000, 0.0000, 0.7500)
N (0.0000, 0.0000, 0.3283)
N (0.0000, 0.0000, 0.6717)
N (0.5000, 0.5000, 0.1717)
N (0.5000, 0.5000, 0.8283)

Results
uncorrected formation energy	0.4067	eV per atom
magnetization	0.00	μB/f.u.
DOS(E_F)	8.38	states/eV/cell
total DFT energy (no corrections)	-8.542	eV per atom